(1)
The following is a DFT calculation (GGA-PBE) of crystalline K2SeO at its relaxed geometry.

## Properties
Relative energy among the computed polymorphs (eV/atom): 0.086
ΔE_f (raw) (kJ/mol of atoms): -96.4
Density (g/cm3): 2.65
Size of the total moment (Bohr magnetons per cell): 0.0

Cell and atoms, written as POSCAR:
```
K2SeO
1.0
4.4640 0.0000 0.0000
2.2105 4.6017 0.0000
0.0303 1.0391 5.2817
K Se O
2 1 1
direct
0.6799 0.6630 0.7044
0.9916 0.0429 0.1122
0.3424 0.3392 0.4429
0.3804 0.2639 0.8011
```

(2)
The following is a DFT calculation (GGA-PBE) of crystalline K11SeO5 at its relaxed geometry.

## Properties
ΔE_f (raw) (kJ/mol of atoms): -92.1
DOS(E_F) (states/eV per atom): 0.93
Density (g/cm3): 2.17
Size of the total moment (Bohr magnetons per cell): 1.2

Cell and atoms, written as POSCAR:
```
K11SeO5
1.0
0.0640 -1.3288 7.2122
7.4130 -2.5415 -2.4409
0.8388 8.1545 -0.4119
K Se O
11 1 5
direct
0.3368 0.6749 0.6749
0.6632 0.3251 0.3251
0.6822 0.1392 0.7009
0.3178 0.8608 0.2991
0.3178 0.2991 0.8608
0.6822 0.7009 0.1392
0.5000 0.0000 0.0000
0.9506 0.8340 0.5768
0.0494 0.1660 0.4232
0.0494 0.4232 0.1660
0.9506 0.5768 0.8340
0.0000 0.0000 0.0000
0.6914 0.0023 0.3737
0.3086 0.9977 0.6263
0.3086 0.6263 0.9977
0.6914 0.3737 0.0023
0.0000 0.5000 0.5000
```

(3)
The following is a DFT calculation (GGA-PBE) of crystalline KSeO at its relaxed geometry.

## Properties
ΔE_f (raw) (kJ/mol of atoms): -91.8
Density (g/cm3): 2.96
Size of the total moment (Bohr magnetons per cell): 0.0

Cell and atoms, written as POSCAR:
```
KSeO
1.0
-2.3093 4.5718 1.6862
-7.3537 0.1234 -1.7833
-6.5618 -1.0077 2.3680
K Se O
2 2 2
direct
0.3331 0.7781 0.5558
0.6669 0.2219 0.4442
0.0783 0.6331 0.2103
0.9217 0.3669 0.7897
0.8118 0.6829 0.6935
0.1882 0.3171 0.3065
```